--- i ---
Here is IrPbF3 after structural relaxation from Alexandria. Energies are from PBE-GGA.

Cell and atoms, written as POSCAR:
```
IrPbF3
1.0
-2.720 3.425 1.801
-1.505 -2.964 3.365
3.566 1.362 2.794
F Pb Ir
3 1 1
Direct
0.000 0.000 0.500
0.500 0.000 0.000
0.000 0.500 0.000
0.000 0.000 0.000
0.500 0.500 0.500
```

Values from the calculation:
Fermi-level density of states (states/eV/cell): 2.72
Crystal system: cubic

--- ii ---
Here is IrPbF3 after structural relaxation from Alexandria. Energies are from PBE-GGA.

Cell and atoms, written as POSCAR:
```
IrPbF3
1.0
4.357 0.000 0.000
0.000 4.357 0.000
0.000 0.000 4.357
Ir F Pb
1 3 1
Direct
0.000 0.000 0.000
0.500 0.000 0.000
0.000 0.000 0.500
0.000 0.500 0.000
0.500 0.500 0.500
```

Values from the calculation:
Fermi-level density of states (states/eV/cell): 2.22
Crystal system: cubic

Energy ordering: ii at the bottom, the next structure 35.2 kJ/mol of atoms above.